(1)
This record from the Alexandria database describes a relaxed structure of SrLi2IrO6. The functional is PBE-GGA.

Cell: 5.613 5.613 5.613 Å, 59.78 59.78 59.78°
Element x y z (fractional)
1 Sr 0.000 0.000 0.000
2 Li 0.288 0.288 0.288
3 Li 0.712 0.712 0.712
4 Ir 0.500 0.500 0.500
5 O 0.127 0.675 0.458
6 O 0.325 0.542 0.873
7 O 0.458 0.127 0.675
8 O 0.542 0.873 0.325
9 O 0.675 0.458 0.127
10 O 0.873 0.325 0.542

**Total DFT energy (no corrections)**: -0.214 Ha/atom
**Space group**: No. 148

(2)
This record from the Alexandria database describes a relaxed structure of Ta3TiSi. The functional is PBE-GGA.

Cell: 4.648 4.648 4.648 Å, 90.00 90.00 90.00°
Element x y z (fractional)
1 Ta 0.000 0.000 0.500
2 Ta 0.000 0.500 0.000
3 Ta 0.500 0.000 0.000
4 Ti 0.500 0.500 0.500
5 Si 0.000 0.000 0.000

**Total DFT energy (no corrections)**: -0.334 Ha/atom
**Space group**: No. 221
**Energy above the lowest structure with this stoichiometry**: 0 kJ/mol of formula units

(3)
This record from the Alexandria database describes a relaxed structure of Hf2GeMo. The functional is PBE-GGA.

Cell: 8.671 8.671 8.671 Å, 21.63 21.63 21.63°
Element x y z (fractional)
1 Hf 0.247 0.247 0.247
2 Hf 0.753 0.753 0.753
3 Ge 0.000 0.000 0.000
4 Mo 0.500 0.500 0.500

**Total DFT energy (no corrections)**: -0.328 Ha/atom
**Space group**: No. 166

(4)
This record from the Alexandria database describes a relaxed structure of PmAl2Ga2Ag. The functional is PBE-GGA.

Cell: 4.424 4.424 6.894 Å, 90.00 90.00 120.00°
Element x y z (fractional)
1 Pm 0.000 0.000 0.000
2 Al 0.333 0.667 0.311
3 Al 0.667 0.333 0.689
4 Ga 0.333 0.667 0.753
5 Ga 0.667 0.333 0.247
6 Ag 0.000 0.000 0.500

**Total DFT energy (no corrections)**: -0.142 Ha/atom
**Space group**: No. 164

(5)
This record from the Alexandria database describes a relaxed structure of UWC2. The functional is PBE-GGA.

Cell: 5.639 3.229 11.077 Å, 90.00 90.00 90.00°
Element x y z (fractional)
1 U 0.080 0.250 0.142
2 U 0.420 0.750 0.642
3 U 0.580 0.250 0.358
4 U 0.920 0.750 0.858
5 W 0.079 0.750 0.398
6 W 0.421 0.250 0.898
7 W 0.579 0.750 0.102
8 W 0.921 0.250 0.602
9 C 0.163 0.250 0.755
10 C 0.249 0.250 0.492
11 C 0.251 0.750 0.992
12 C 0.337 0.750 0.255
13 C 0.663 0.250 0.745
14 C 0.749 0.250 0.008
15 C 0.751 0.750 0.508
16 C 0.837 0.750 0.245

**Total DFT energy (no corrections)**: -0.404 Ha/atom
**Space group**: No. 62
**Energy above the lowest structure with this stoichiometry**: 0 kJ/mol of formula units

(6)
This record from the Alexandria database describes a relaxed structure of Sc2ZnSnH. The functional is PBE-GGA.

Cell: 4.383 4.383 4.310 Å, 90.00 90.00 90.00°
Element x y z (fractional)
1 Sc 0.000 0.500 0.000
2 Sc 0.500 0.000 0.000
3 Zn 0.000 0.000 0.500
4 Sn 0.500 0.500 0.500
5 H 0.000 0.000 0.000

**Total DFT energy (no corrections)**: -0.172 Ha/atom
**Space group**: No. 123

(7)
This record from the Alexandria database describes a relaxed structure of Li2BeRu. The functional is PBE-GGA.

Cell: 2.462 4.326 4.646 Å, 90.00 90.00 90.00°
Element x y z (fractional)
1 Li 0.000 0.000 0.245
2 Li 0.000 0.000 0.755
3 Be 0.500 0.500 0.500
4 Ru 0.500 0.500 0.000

**Total DFT energy (no corrections)**: -0.148 Ha/atom
**Space group**: No. 47

(8)
This record from the Alexandria database describes a relaxed structure of BaZrPt. The functional is PBE-GGA.

Cell: 7.029 7.029 7.029 Å, 150.00 150.00 42.94°
Element x y z (fractional)
1 Ba 0.000 0.000 0.000
2 Zr 0.268 0.268 0.000
3 Pt 0.697 0.697 0.000

**Total DFT energy (no corrections)**: -0.218 Ha/atom
**Space group**: No. 107
**Energy above the lowest structure with this stoichiometry**: 71 kJ/mol of formula units

(9)
This record from the Alexandria database describes a relaxed structure of SrNiAg2S. The functional is PBE-GGA.

Cell: 4.793 4.793 5.680 Å, 90.00 90.00 90.00°
Element x y z (fractional)
1 Sr 0.000 0.000 0.000
2 Ni 0.500 0.500 0.000
3 Ag 0.000 0.500 0.500
4 Ag 0.500 0.000 0.500
5 S 0.000 0.000 0.500

**Total DFT energy (no corrections)**: -0.120 Ha/atom
**Space group**: No. 123

(10)
This record from the Alexandria database describes a relaxed structure of Al2VCl. The functional is PBE-GGA.

Cell: 5.944 5.944 5.944 Å, 102.21 102.21 125.24°
Element x y z (fractional)
1 Al 0.122 0.625 0.997
2 Al 0.375 0.372 0.497
3 Al 0.628 0.125 0.003
4 Al 0.875 0.878 0.503
5 V 0.000 0.000 0.000
6 V 0.750 0.250 0.500
7 Cl 0.250 0.750 0.500
8 Cl 0.500 0.500 0.000

**Total DFT energy (no corrections)**: -0.154 Ha/atom
**Space group**: No. 122
**Energy above the lowest structure with this stoichiometry**: 0 kJ/mol of formula units

(11)
This record from the Alexandria database describes a relaxed structure of Th4OsPt2S. The functional is PBE-GGA.

Cell: 7.219 4.133 7.270 Å, 90.00 108.51 90.00°
Element x y z (fractional)
1 Th 0.243 0.000 0.238
2 Th 0.243 0.500 0.759
3 Th 0.757 0.000 0.762
4 Th 0.757 0.500 0.241
5 Os 0.000 0.500 0.000
6 Pt 0.500 0.000 0.000
7 Pt 0.500 0.500 0.500
8 S 0.000 0.000 0.500

**Total DFT energy (no corrections)**: -0.303 Ha/atom
**Space group**: No. 10

(12)
This record from the Alexandria database describes a relaxed structure of PmPu2Th3S6. The functional is PBE-GGA.

Cell: 6.898 6.898 7.013 Å, 99.43 99.43 119.93°
Element x y z (fractional)
1 Pm 0.000 0.000 0.000
2 Pu 0.333 0.667 0.000
3 Pu 0.667 0.333 0.000
4 Th 0.164 0.836 0.500
5 Th 0.500 0.500 0.500
6 Th 0.836 0.164 0.500
7 S 0.081 0.419 0.243
8 S 0.258 0.258 0.761
9 S 0.419 0.081 0.243
10 S 0.581 0.919 0.757
11 S 0.742 0.742 0.239
12 S 0.919 0.581 0.757

**Total DFT energy (no corrections)**: -0.315 Ha/atom
**Space group**: No. 12

(13)
This record from the Alexandria database describes a relaxed structure of Li3ScCl. The functional is PBE-GGA.

Cell: 5.804 5.804 5.804 Å, 90.00 90.00 90.00°
Element x y z (fractional)
1 Li 0.000 0.000 0.500
2 Li 0.000 0.500 0.000
3 Li 0.500 0.000 0.000
4 Sc 0.000 0.000 0.000
5 Cl 0.500 0.500 0.500

**Total DFT energy (no corrections)**: -0.078 Ha/atom
**Space group**: No. 221
**Energy above the lowest structure with this stoichiometry**: 414 kJ/mol of formula units

(14)
This record from the Alexandria database describes a relaxed structure of NbCrRhPb2. The functional is PBE-GGA.

Cell: 5.080 5.080 4.405 Å, 90.00 90.00 90.00°
Element x y z (fractional)
1 Nb 0.000 0.000 0.000
2 Cr 0.000 0.000 0.500
3 Rh 0.500 0.500 0.000
4 Pb 0.000 0.500 0.500
5 Pb 0.500 0.000 0.500

**Total DFT energy (no corrections)**: -0.216 Ha/atom
**Space group**: No. 123

(15)
This record from the Alexandria database describes a relaxed structure of NdThSn. The functional is PBE-GGA.

Cell: 9.509 9.509 9.509 Å, 151.85 151.85 40.23°
Element x y z (fractional)
1 Nd 0.176 0.176 0.000
2 Nd 0.824 0.824 0.000
3 Th 0.000 0.500 0.500
4 Th 0.500 0.000 0.500
5 Sn 0.361 0.361 0.000
6 Sn 0.639 0.639 0.000

**Total DFT energy (no corrections)**: -0.218 Ha/atom
**Space group**: No. 139
**Energy above the lowest structure with this stoichiometry**: 0 kJ/mol of formula units

(16)
This record from the Alexandria database describes a relaxed structure of YMo2Rh. The functional is PBE-GGA.

Cell: 3.261 3.261 6.793 Å, 90.00 90.00 90.00°
Element x y z (fractional)
1 Y 0.000 0.000 0.000
2 Mo 0.000 0.000 0.495
3 Mo 0.500 0.500 0.297
4 Rh 0.500 0.500 0.736

**Total DFT energy (no corrections)**: -0.327 Ha/atom
**Space group**: No. 99
**Energy above the lowest structure with this stoichiometry**: 0 kJ/mol of formula units

(17)
This record from the Alexandria database describes a relaxed structure of InPAu2. The functional is PBE-GGA.

Cell: 4.511 4.511 4.930 Å, 90.00 90.22 90.00°
Element x y z (fractional)
1 In 0.000 0.000 0.000
2 P 0.502 0.500 0.500
3 Au 0.003 0.500 0.650
4 Au 0.501 0.000 0.350

**Total DFT energy (no corrections)**: -0.136 Ha/atom
**Space group**: No. 6
**Energy above the lowest structure with this stoichiometry**: 3 kJ/mol of formula units

(18)
This record from the Alexandria database describes a relaxed structure of Sc5PS4. The functional is PBE-GGA.

Cell: 9.822 9.822 9.822 Å, 158.25 149.16 38.06°
Element x y z (fractional)
1 Sc 0.000 0.000 0.000
2 Sc 0.200 0.200 0.000
3 Sc 0.402 0.402 0.000
4 Sc 0.598 0.598 0.000
5 Sc 0.800 0.800 0.000
6 P 0.500 0.000 0.500
7 S 0.101 0.601 0.500
8 S 0.300 0.800 0.500
9 S 0.700 0.200 0.500
10 S 0.899 0.399 0.500

**Total DFT energy (no corrections)**: -0.264 Ha/atom
**Space group**: No. 71

(19)
This record from the Alexandria database describes a relaxed structure of CaSmIn. The functional is PBE-GGA.

Cell: 5.331 5.331 5.331 Å, 60.00 60.00 60.00°
Element x y z (fractional)
1 Ca 0.000 0.000 0.000
2 Sm 0.500 0.500 0.500
3 In 0.250 0.250 0.250

**Total DFT energy (no corrections)**: -0.123 Ha/atom
**Space group**: No. 216
**Energy above the lowest structure with this stoichiometry**: 65 kJ/mol of formula units

(20)
This record from the Alexandria database describes a relaxed structure of Be2AuSe. The functional is PBE-GGA.

Cell: 4.692 4.692 3.706 Å, 111.90 111.90 69.55°
Element x y z (fractional)
1 Be 0.000 0.500 0.000
2 Be 0.500 0.000 0.000
3 Au 0.000 0.000 0.500
4 Se 0.500 0.500 0.500

**Total DFT energy (no corrections)**: -0.121 Ha/atom
**Space group**: No. 12

(21)
This record from the Alexandria database describes a relaxed structure of PmSiHgPd. The functional is PBE-GGA.

Cell: 4.888 4.888 4.888 Å, 60.00 60.00 60.00°
Element x y z (fractional)
1 Pm 0.000 0.000 0.000
2 Si 0.750 0.750 0.750
3 Hg 0.500 0.500 0.500
4 Pd 0.250 0.250 0.250

**Total DFT energy (no corrections)**: -0.156 Ha/atom
**Space group**: No. 216

(22)
This record from the Alexandria database describes a relaxed structure of TlSnSCl. The functional is PBE-GGA.

Cell: 8.115 8.115 8.115 Å, 29.88 29.88 29.88°
Element x y z (fractional)
1 Tl 0.000 0.000 0.000
2 Sn 0.180 0.180 0.180
3 S 0.575 0.575 0.575
4 Cl 0.760 0.760 0.760

**Total DFT energy (no corrections)**: -0.137 Ha/atom
**Space group**: No. 160

(23)
This record from the Alexandria database describes a relaxed structure of TlCdO2. The functional is PBE-GGA.

Cell: 6.473 6.473 6.473 Å, 131.65 131.65 70.78°
Element x y z (fractional)
1 Tl 0.000 0.000 0.000
2 Tl 0.750 0.250 0.500
3 Cd 0.250 0.750 0.500
4 Cd 0.500 0.500 0.000
5 O 0.137 0.625 0.012
6 O 0.375 0.387 0.512
7 O 0.613 0.125 0.988
8 O 0.875 0.863 0.488

**Total DFT energy (no corrections)**: -0.150 Ha/atom
**Space group**: No. 122
**Energy above the lowest structure with this stoichiometry**: 0 kJ/mol of formula units

(24)
This record from the Alexandria database describes a relaxed structure of TiInW3. The functional is PBE-GGA.

Cell: 4.839 4.839 4.839 Å, 90.00 90.00 90.00°
Element x y z (fractional)
1 Ti 0.000 0.000 0.000
2 In 0.500 0.500 0.500
3 W 0.000 0.500 0.500
4 W 0.500 0.000 0.500
5 W 0.500 0.500 0.000

**Total DFT energy (no corrections)**: -0.264 Ha/atom
**Space group**: No. 221
**Energy above the lowest structure with this stoichiometry**: 470 kJ/mol of formula units

(25)
This record from the Alexandria database describes a relaxed structure of CsTcIr2. The functional is PBE-GGA.

Cell: 6.683 6.683 6.683 Å, 111.95 111.95 104.62°
Element x y z (fractional)
1 Cs 0.000 0.000 0.000
2 Cs 0.750 0.250 0.500
3 Tc 0.250 0.750 0.500
4 Tc 0.500 0.500 0.000
5 Ir 0.236 0.625 0.111
6 Ir 0.375 0.486 0.611
7 Ir 0.514 0.125 0.889
8 Ir 0.875 0.764 0.389

**Total DFT energy (no corrections)**: -0.222 Ha/atom
**Space group**: No. 122